*w*
A plane-wave DFT calculation with GGA-PBE was carried out for Er3ScPb after structural relaxation.

a b c (Å): 8.357 3.812 8.927
angles (deg): 90.00 91.94 90.00
Space group P2_1/m (No. 11)
Symmetry-distinct sites (fractional):
Er 0.041 0.250 0.169
Er 0.337 0.750 0.015
Er 0.432 0.250 0.343
Sc 0.145 0.750 0.479
Pb 0.263 0.250 0.724

*x*
A plane-wave DFT calculation with GGA-PBE was carried out for Er3ScPb after structural relaxation.

a b c (Å): 5.317 6.483 9.276
angles (deg): 103.55 90.14 114.06
Space group P-1 (No. 2)
Symmetry-distinct sites (fractional):
Er 0.021 0.042 0.334
Er 0.149 0.298 0.043
Er 0.354 0.707 0.444
Sc 0.480 0.960 0.153
Pb 0.257 0.514 0.747

Which one is most stable, and which one is least stable? *x* is the most stable of them, while *w* is the least stable.

*w*
A plane-wave DFT calculation with GGA-PBE was carried out for Er4ScPb2 after structural relaxation.

a b c (Å): 5.159 5.159 16.585
angles (deg): 90.00 90.00 90.00
Space group I4/mmm (No. 139)
Symmetry-distinct sites (fractional):
Er 0.000 0.000 0.180
Er 0.000 0.500 0.000
Sc 0.000 0.000 0.000
Pb 0.000 0.000 0.367

*x*
A plane-wave DFT calculation with GGA-PBE was carried out for Er4ScPb2 after structural relaxation.

a b c (Å): 8.679 10.098 4.649
angles (deg): 90.00 90.00 90.00
Space group Cmmm (No. 65)
Symmetry-distinct sites (fractional):
Er 0.210 0.000 0.000
Er 0.250 0.250 0.500
Sc 0.000 0.500 0.500
Pb 0.000 0.282 0.000

Which one is most stable, and which one is least stable? *x* is the most stable of them, while *w* is the least stable.